1.
# Cs2LiCu2Br6, optimized geometry, DFT PBE
data_Cs2LiCu2Br6
_cell_length_a 7.425
_cell_length_b 7.843
_cell_length_c 8.417
_cell_angle_alpha 113.63
_cell_angle_beta 90.00
_cell_angle_gamma 118.25
_symmetry_space_group_name_H-M 'P 1'
_symmetry_Int_Tables_number 1
_symmetry_space_group_name_Hall 'P 1'
loop_
_atom_site_label
_atom_site_fract_x
_atom_site_fract_y
_atom_site_fract_z
_atom_site_occupancy
Br1 0.222 0.928 0.235 1
Br2 0.706 0.928 0.235 1
Br3 0.778 0.072 0.765 1
Br4 0.252 0.505 0.333 1
Br5 0.294 0.072 0.765 1
Br6 0.748 0.495 0.667 1
Cu1 0.930 0.859 0.729 1
Cu2 0.070 0.141 0.271 1
Li1 0.500 0.000 0.500 1
Cs1 0.711 0.422 0.197 1
Cs2 0.289 0.578 0.803 1
# SG ... C2/m, No. 12
# V ... 385 Å³/f.u.
# Uncorrected formation energy ... -1.06 eV/atom

=====

2.
# CsLiCuBr2, optimized geometry, DFT PBE
data_CsLiCuBr2
_cell_length_a 5.374
_cell_length_b 5.730
_cell_length_c 5.374
_cell_angle_alpha 90.00
_cell_angle_beta 90.00
_cell_angle_gamma 90.00
_symmetry_space_group_name_H-M 'P 1'
_symmetry_Int_Tables_number 1
_symmetry_space_group_name_Hall 'P 1'
loop_
_atom_site_label
_atom_site_fract_x
_atom_site_fract_y
_atom_site_fract_z
_atom_site_occupancy
Br1 0.000 0.000 0.500 1
Br2 0.500 0.000 0.000 1
Cs1 0.000 0.500 0.000 1
Li1 0.500 0.500 0.500 1
Cu1 0.000 0.000 0.000 1
# SG ... P4/mmm, No. 123
# V ... 166 Å³/f.u.
# Uncorrected formation energy ... -0.30 eV/atom

=====

3.
# Cs3LiCu2Br6, optimized geometry, DFT PBE
data_Cs3LiCu2Br6
_cell_length_a 7.894
_cell_length_b 7.894
_cell_length_c 9.314
_cell_angle_alpha 90.00
_cell_angle_beta 90.00
_cell_angle_gamma 120.00
_symmetry_space_group_name_H-M 'P 1'
_symmetry_Int_Tables_number 1
_symmetry_space_group_name_Hall 'P 1'
loop_
_atom_site_label
_atom_site_fract_x
_atom_site_fract_y
_atom_site_fract_z
_atom_site_occupancy
Br1 0.161 0.321 0.306 1
Br2 0.161 0.839 0.306 1
Br3 0.839 0.679 0.694 1
Br4 0.321 0.161 0.694 1
Br5 0.679 0.839 0.306 1
Br6 0.839 0.161 0.694 1
Cu1 0.333 0.667 0.295 1
Cu2 0.667 0.333 0.705 1
Cs1 0.333 0.667 0.662 1
Cs2 0.000 0.000 0.000 1
Cs3 0.667 0.333 0.338 1
Li1 0.000 0.000 0.500 1
# SG ... P-3m1, No. 164
# V ... 503 Å³/f.u.
# Uncorrected formation energy ... -1.20 eV/atom

=====

4.
# Cs2LiCuBr6, optimized geometry, DFT PBE
data_Cs2LiCuBr6
_cell_length_a 7.583
_cell_length_b 7.583
_cell_length_c 7.639
_cell_angle_alpha 60.24
_cell_angle_beta 60.24
_cell_angle_gamma 90.00
_symmetry_space_group_name_H-M 'P 1'
_symmetry_Int_Tables_number 1
_symmetry_space_group_name_Hall 'P 1'
loop_
_atom_site_label
_atom_site_fract_x
_atom_site_fract_y
_atom_site_fract_z
_atom_site_occupancy
Cs1 0.250 0.750 0.500 1
Cs2 0.750 0.250 0.500 1
Cu1 0.000 0.000 0.000 1
Br1 0.248 0.752 0.000 1
Br2 0.225 0.225 0.551 1
Br3 0.248 0.248 0.000 1
Br4 0.775 0.775 0.449 1
Br5 0.752 0.248 0.000 1
Br6 0.752 0.752 0.000 1
Li1 0.500 0.500 0.000 1
# SG ... I4/mmm, No. 139
# V ... 313 Å³/f.u.
# Uncorrected formation energy ... -1.05 eV/atom

=====

5.
# Cs2MgCu2Br6, optimized geometry, DFT PBE
data_Cs2MgCu2Br6
_cell_length_a 7.723
_cell_length_b 7.779
_cell_length_c 8.163
_cell_angle_alpha 115.37
_cell_angle_beta 90.00
_cell_angle_gamma 119.76
_symmetry_space_group_name_H-M 'P 1'
_symmetry_Int_Tables_number 1
_symmetry_space_group_name_Hall 'P 1'
loop_
_atom_site_label
_atom_site_fract_x
_atom_site_fract_y
_atom_site_fract_z
_atom_site_occupancy
Br1 0.754 0.032 0.755 1
Br2 0.721 0.968 0.245 1
Br3 0.735 0.469 0.698 1
Br4 0.265 0.531 0.302 1
Br5 0.279 0.032 0.755 1
Br6 0.246 0.968 0.245 1
Mg1 0.500 0.000 0.500 1
Cs1 0.727 0.454 0.201 1
Cs2 0.273 0.546 0.799 1
Cu1 0.918 0.836 0.725 1
Cu2 0.082 0.164 0.275 1
# SG ... C2/m, No. 12
# V ... 370 Å³/f.u.
# Uncorrected formation energy ... -1.14 eV/atom

=====

6.
# CsMn3Cu4Br12, optimized geometry, DFT PBE
data_CsMn3Cu4Br12
_cell_length_a 8.962
_cell_length_b 8.962
_cell_length_c 8.962
_cell_angle_alpha 106.08
_cell_angle_beta 106.08
_cell_angle_gamma 106.08
_symmetry_space_group_name_H-M 'P 1'
_symmetry_Int_Tables_number 1
_symmetry_space_group_name_Hall 'P 1'
loop_
_atom_site_label
_atom_site_fract_x
_atom_site_fract_y
_atom_site_fract_z
_atom_site_occupancy
Cu1 0.500 0.917 0.083 1
Cu2 0.500 0.500 0.500 1
Cu3 0.917 0.083 0.500 1
Cu4 0.083 0.500 0.917 1
Br1 0.333 0.667 0.500 1
Br2 0.636 0.737 0.018 1
Br3 0.089 0.911 0.500 1
Br4 0.500 0.333 0.667 1
Br5 0.667 0.500 0.333 1
Br6 0.911 0.500 0.089 1
Br7 0.982 0.263 0.364 1
Br8 0.737 0.018 0.636 1
Br9 0.364 0.982 0.263 1
Br10 0.018 0.636 0.737 1
Br11 0.500 0.089 0.911 1
Br12 0.263 0.364 0.982 1
Mn1 0.429 0.000 0.571 1
Mn2 0.000 0.571 0.429 1
Mn3 0.571 0.429 0.000 1
Cs1 0.000 0.000 0.000 1
# SG ... R32, No. 155
# V ... 614 Å³/f.u.
# Uncorrected formation energy ... -0.62 eV/atom

=====

7.
# CsMnCuBr6, optimized geometry, DFT PBE
data_CsMnCuBr6
_cell_length_a 8.793
_cell_length_b 6.495
_cell_length_c 7.669
_cell_angle_alpha 73.52
_cell_angle_beta 76.21
_cell_angle_gamma 59.07
_symmetry_space_group_name_H-M 'P 1'
_symmetry_Int_Tables_number 1
_symmetry_space_group_name_Hall 'P 1'
loop_
_atom_site_label
_atom_site_fract_x
_atom_site_fract_y
_atom_site_fract_z
_atom_site_occupancy
Br1 0.671 0.292 0.641 1
Br2 0.529 0.111 0.278 1
Br3 0.150 0.471 0.781 1
Br4 0.312 0.701 0.350 1
Br5 0.864 0.524 0.223 1
Br6 0.467 0.890 0.720 1
Cu1 0.626 0.688 0.452 1
Mn1 0.393 0.310 0.550 1
Cs1 0.986 0.012 0.004 1
# SG ... P1, No. 1
# V ... 358 Å³/f.u.
# Uncorrected formation energy ... -0.80 eV/atom

=====

8.
# Cs2MnCuBr6, optimized geometry, DFT PBE
data_Cs2MnCuBr6
_cell_length_a 7.879
_cell_length_b 7.879
_cell_length_c 7.752
_cell_angle_alpha 59.46
_cell_angle_beta 59.46
_cell_angle_gamma 90.00
_symmetry_space_group_name_H-M 'P 1'
_symmetry_Int_Tables_number 1
_symmetry_space_group_name_Hall 'P 1'
loop_
_atom_site_label
_atom_site_fract_x
_atom_site_fract_y
_atom_site_fract_z
_atom_site_occupancy
Br1 0.279 0.721 0.000 1
Br2 0.215 0.215 0.571 1
Br3 0.785 0.785 0.429 1
Br4 0.721 0.721 0.000 1
Br5 0.721 0.279 0.000 1
Br6 0.279 0.279 0.000 1
Cs1 0.250 0.750 0.500 1
Cs2 0.750 0.250 0.500 1
Cu1 0.000 0.000 0.000 1
Mn1 0.500 0.500 0.000 1
# SG ... I4/mmm, No. 139
# Energy above the lowest structure with this stoichiometry ... 0.00 eV/f.u.
# V ... 335 Å³/f.u.
# Uncorrected formation energy ... -1.08 eV/atom

=====

9.
# CsMnCu2Br8, optimized geometry, DFT PBE
data_CsMnCu2Br8
_cell_length_a 6.570
_cell_length_b 6.570
_cell_length_c 11.457
_cell_angle_alpha 73.34
_cell_angle_beta 73.34
_cell_angle_gamma 60.00
_symmetry_space_group_name_H-M 'P 1'
_symmetry_Int_Tables_number 1
_symmetry_space_group_name_Hall 'P 1'
loop_
_atom_site_label
_atom_site_fract_x
_atom_site_fract_y
_atom_site_fract_z
_atom_site_occupancy
Br1 0.310 0.310 0.070 1
Br2 0.690 0.690 0.930 1
Br3 0.248 0.851 0.344 1
Br4 0.149 0.752 0.656 1
Br5 0.558 0.248 0.344 1
Br6 0.442 0.149 0.656 1
Br7 0.851 0.558 0.344 1
Br8 0.752 0.442 0.656 1
Cu1 0.763 0.763 0.711 1
Cu2 0.237 0.237 0.289 1
Mn1 0.500 0.500 0.500 1
Cs1 0.000 0.000 0.000 1
# SG ... R32, No. 155
# V ... 404 Å³/f.u.
# Uncorrected formation energy ... -0.57 eV/atom

=====

10.
# Cs2MnCuBr6, optimized geometry, DFT PBE
data_Cs2MnCuBr6
_cell_length_a 6.397
_cell_length_b 7.696
_cell_length_c 7.696
_cell_angle_alpha 120.00
_cell_angle_beta 90.00
_cell_angle_gamma 90.00
_symmetry_space_group_name_H-M 'P 1'
_symmetry_Int_Tables_number 1
_symmetry_space_group_name_Hall 'P 1'
loop_
_atom_site_label
_atom_site_fract_x
_atom_site_fract_y
_atom_site_fract_z
_atom_site_occupancy
Br1 0.747 0.158 0.316 1
Br2 0.253 0.316 0.158 1
Br3 0.747 0.158 0.842 1
Br4 0.253 0.842 0.158 1
Br5 0.253 0.842 0.684 1
Br6 0.747 0.684 0.842 1
Mn1 0.500 0.000 0.000 1
Cu1 0.000 0.000 0.000 1
Cs1 0.751 0.667 0.333 1
Cs2 0.249 0.333 0.667 1
# SG ... P-3m1, No. 164
# Energy above the lowest structure with this stoichiometry ... 0.05 eV/f.u.
# V ... 328 Å³/f.u.
# Uncorrected formation energy ... -1.07 eV/atom

=====

- V of number 5 (Cs2MgCu2Br6)?
  370 Å³/f.u.